{"formula": "SrMo2Cl", "functional": "PBE-GGA", "state": "optimized geometry", "lattice_angstrom": [[3.259, 0.000, 0.000], [0.000, 5.420, 0.000], [0.000, 0.000, 5.914]], "species": ["Sr", "Mo", "Mo", "Cl"], "frac_coords": [[0.000, 0.000, 0.000], [0.500, 0.195, 0.500], [0.500, 0.805, 0.500], [0.000, 0.500, 0.000]], "de_polymorph_mev_per_atom": 779.3, "magnetic_moment_mub_per_cell": 0.000, "e_form_raw_ev_per_atom": 0.71, "dos_at_fermi_per_ev_fu": 3.6}

---

{"formula": "SrMo2Cl", "functional": "PBE-GGA", "state": "optimized geometry", "lattice_angstrom": [[0.000, 3.383, 3.383], [3.383, 0.000, 3.383], [3.383, 3.383, 0.000]], "species": ["Sr", "Mo", "Mo", "Cl"], "frac_coords": [[0.000, 0.000, 0.000], [0.250, 0.250, 0.250], [0.750, 0.750, 0.750], [0.500, 0.500, 0.500]], "de_polymorph_mev_per_atom": 1815.8, "magnetic_moment_mub_per_cell": 1.356, "e_form_raw_ev_per_atom": 1.75, "dos_at_fermi_per_ev_fu": 5.3}

---

{"formula": "SrMoCl", "functional": "PBE-GGA", "state": "optimized geometry", "lattice_angstrom": [[4.700, 0.000, 0.000], [-2.350, 4.071, 0.000], [0.000, 0.000, 4.067]], "species": ["Sr", "Mo", "Cl"], "frac_coords": [[0.000, 0.000, 0.000], [0.333, 0.667, 0.500], [0.667, 0.333, 0.500]], "de_polymorph_mev_per_atom": 107.8, "magnetic_moment_mub_per_cell": 3.673, "e_form_raw_ev_per_atom": 0.46, "dos_at_fermi_per_ev_fu": 2.1}

---

{"formula": "SrMoCl", "functional": "PBE-GGA", "state": "optimized geometry", "lattice_angstrom": [[0.000, 3.593, 3.593], [3.593, 0.000, 3.593], [3.593, 3.593, 0.000]], "species": ["Sr", "Mo", "Cl"], "frac_coords": [[0.000, 0.000, 0.000], [0.500, 0.500, 0.500], [0.750, 0.750, 0.750]], "de_polymorph_mev_per_atom": 235.9, "magnetic_moment_mub_per_cell": 5.002, "e_form_raw_ev_per_atom": 0.58, "dos_at_fermi_per_ev_fu": 0.1}

---

{"formula": "SrMoCl", "functional": "PBE-GGA", "state": "optimized geometry", "lattice_angstrom": [[0.000, 3.870, 3.870], [3.870, 0.000, 3.870], [3.870, 3.870, 0.000]], "species": ["Sr", "Mo", "Cl"], "frac_coords": [[0.000, 0.000, 0.000], [0.250, 0.250, 0.250], [0.750, 0.750, 0.750]], "de_polymorph_mev_per_atom": 436.5, "magnetic_moment_mub_per_cell": 4.999, "e_form_raw_ev_per_atom": 0.78, "dos_at_fermi_per_ev_fu": 1.0}

---

{"formula": "SrMoCl", "functional": "PBE-GGA", "state": "optimized geometry", "lattice_angstrom": [[-1.788, 1.788, 7.148], [1.788, -1.788, 7.148], [1.788, 1.788, -7.148]], "species": ["Sr", "Mo", "Cl"], "frac_coords": [[0.000, 0.000, 0.000], [0.334, 0.334, 0.000], [0.610, 0.610, 0.000]], "de_polymorph_mev_per_atom": 0.0, "magnetic_moment_mub_per_cell": 3.939, "e_form_raw_ev_per_atom": 0.35, "dos_at_fermi_per_ev_fu": 2.4}

---

{"formula": "SrMoCl2", "functional": "PBE-GGA", "state": "optimized geometry", "lattice_angstrom": [[7.549, -1.822, 0.000], [7.549, 1.822, 0.000], [-0.472, 0.000, 4.704]], "species": ["Sr", "Mo", "Cl", "Cl"], "frac_coords": [[0.000, 0.000, 0.000], [0.293, 0.293, 0.995], [0.477, 0.477, 0.496], [0.656, 0.656, 0.057]], "de_polymorph_mev_per_atom": 143.0, "magnetic_moment_mub_per_cell": 5.108, "e_form_raw_ev_per_atom": -0.34, "dos_at_fermi_per_ev_fu": 1.2}

---

{"formula": "SrMoCl2", "functional": "PBE-GGA", "state": "optimized geometry", "lattice_angstrom": [[3.355, 0.000, 0.000], [0.000, 3.355, 0.000], [0.000, 0.000, 8.773]], "species": ["Sr", "Mo", "Cl", "Cl"], "frac_coords": [[0.000, 0.000, 0.000], [0.500, 0.500, 0.700], [0.000, 0.000, 0.594], [0.500, 0.500, 0.192]], "de_polymorph_mev_per_atom": 23.7, "magnetic_moment_mub_per_cell": 0.464, "e_form_raw_ev_per_atom": -0.46, "dos_at_fermi_per_ev_fu": 2.9}

---

{"formula": "SrMo2Cl", "functional": "PBE-GGA", "state": "optimized geometry", "lattice_angstrom": [[3.014, -1.702, 0.000], [3.014, 1.702, 0.000], [-2.987, 0.000, 8.966]], "species": ["Sr", "Mo", "Mo", "Cl"], "frac_coords": [[0.000, 0.000, 0.000], [0.581, 0.581, 0.484], [0.827, 0.827, 0.315], [0.209, 0.209, 0.760]], "de_polymorph_mev_per_atom": 133.3, "magnetic_moment_mub_per_cell": 0.000, "e_form_raw_ev_per_atom": 0.07, "dos_at_fermi_per_ev_fu": 1.3}

---

{"formula": "SrMoCl2", "functional": "PBE-GGA", "state": "optimized geometry", "lattice_angstrom": [[-2.567, 2.567, 8.454], [2.567, -2.567, 8.454], [2.567, 2.567, -8.454]], "species": ["Sr", "Sr", "Mo", "Mo", "Cl", "Cl", "Cl", "Cl"], "frac_coords": [[0.000, 0.000, 0.000], [0.750, 0.250, 0.500], [0.250, 0.750, 0.500], [0.500, 0.500, 0.000], [0.176, 0.625, 0.051], [0.375, 0.426, 0.551], [0.574, 0.125, 0.949], [0.875, 0.824, 0.449]], "de_polymorph_mev_per_atom": 152.8, "magnetic_moment_mub_per_cell": 8.000, "e_form_raw_ev_per_atom": -0.33, "dos_at_fermi_per_ev_fu": 2.4}

---

{"formula": "Sr2ZnMoCl", "functional": "PBE-GGA", "state": "optimized geometry", "lattice_angstrom": [[6.084, 0.000, 0.000], [0.000, 6.084, 0.000], [0.000, 0.000, 4.854]], "species": ["Sr", "Sr", "Zn", "Mo", "Cl"], "frac_coords": [[0.000, 0.500, 0.000], [0.500, 0.000, 0.000], [0.000, 0.000, 0.000], [0.000, 0.000, 0.500], [0.500, 0.500, 0.500]], "magnetic_moment_mub_per_cell": 3.584, "e_form_raw_ev_per_atom": 0.19, "dos_at_fermi_per_ev_fu": 2.0}

---

{"formula": "TaMoCl2", "functional": "PBE-GGA", "state": "optimized geometry", "lattice_angstrom": [[1.418, -2.810, 0.000], [1.418, 2.810, 0.000], [0.000, 0.000, 8.850]], "species": ["Ta", "Mo", "Cl", "Cl"], "frac_coords": [[0.000, 0.000, 0.000], [0.000, 0.000, 0.500], [0.500, 0.500, 0.245], [0.500, 0.500, 0.755]], "de_polymorph_mev_per_atom": 939.5, "magnetic_moment_mub_per_cell": 0.880, "e_form_raw_ev_per_atom": 0.46, "dos_at_fermi_per_ev_fu": 4.2}

---

{"formula": "TaMoCl2", "functional": "PBE-GGA", "state": "optimized geometry", "lattice_angstrom": [[2.907, -3.889, 0.000], [2.907, 3.889, 0.000], [0.000, 0.000, 2.900]], "species": ["Ta", "Mo", "Cl", "Cl"], "frac_coords": [[0.000, 0.000, 0.000], [0.500, 0.500, 0.000], [0.000, 0.500, 0.500], [0.500, 0.000, 0.500]], "de_polymorph_mev_per_atom": 1383.3, "magnetic_moment_mub_per_cell": 0.000, "e_form_raw_ev_per_atom": 0.91, "dos_at_fermi_per_ev_fu": 4.0}

---

{"formula": "Ta3MoCl", "functional": "PBE-GGA", "state": "optimized geometry", "lattice_angstrom": [[4.912, 0.000, 0.000], [0.000, 4.912, 0.000], [0.000, 0.000, 4.912]], "species": ["Ta", "Ta", "Ta", "Mo", "Cl"], "frac_coords": [[0.000, 0.000, 0.500], [0.000, 0.500, 0.000], [0.500, 0.000, 0.000], [0.000, 0.000, 0.000], [0.500, 0.500, 0.500]], "magnetic_moment_mub_per_cell": 0.000, "e_form_raw_ev_per_atom": 1.59, "dos_at_fermi_per_ev_fu": 8.5}

---

{"formula": "TaMoCl2", "functional": "PBE-GGA", "state": "optimized geometry", "lattice_angstrom": [[-1.572, 2.175, 7.310], [1.572, -2.175, 7.310], [1.572, 2.175, -7.310]], "species": ["Ta", "Mo", "Cl", "Cl"], "frac_coords": [[0.000, 0.000, 0.000], [0.500, 0.500, 0.000], [0.139, 0.639, 0.500], [0.861, 0.361, 0.500]], "de_polymorph_mev_per_atom": 569.8, "magnetic_moment_mub_per_cell": 1.133, "e_form_raw_ev_per_atom": 0.09, "dos_at_fermi_per_ev_fu": 3.6}